HoCd2Cu, optimized geometry, DFT PBE-GGA; calculated total energy = -2.351 eV per atom; energy of formation = 0.2750 eV per atom; total moment = 0.00 μB per cell
1.0
3.176 0.000 0.000
-1.588 2.751 0.000
0.000 0.000 31.467
Ho Cd Cu
3 6 3
direct
0.000 0.000 0.000
0.333 0.667 0.667
0.667 0.333 0.333
0.000 0.000 0.100
0.000 0.000 0.900
0.333 0.667 0.567
0.333 0.667 0.767
0.667 0.333 0.233
0.667 0.333 0.433
0.000 0.000 0.500
0.333 0.667 0.167
0.667 0.333 0.833